Entry from Alexandria via LeMat-Bulk: GeBMo2 after structural relaxation (GGA-PBE).

Cell lengths 4.2143, 4.2143, 4.2143 Å; angles 60.00, 60.00, 60.00 degrees
Fractional positions:
Ge1 0.0000 0.0000 0.0000
B1 0.5000 0.5000 0.5000
Mo1 0.2500 0.2500 0.2500
Mo2 0.7500 0.7500 0.7500

Values from the calculation:
* ΔE to the lowest computed polymorph: 515 meV/atom
* total energy: -7.842 eV/atom
* space-group type: Fm-3m, No. 225
* energy of formation from the pure elements: 398 meV/atom